No. 1
Here is an optimized crystal structure of Dy4In3Ga from Alexandria. Energies are from PBE.

abc: 3.6663 3.6663 15.2698
angles: 90.00 90.00 90.00
Space group P4/mmm (No. 123)
Symmetry-distinct sites (fractional):
Dy 0.0000 0.0000 0.1140 (multiplicity 2)
Dy 0.0000 0.0000 0.3705 (multiplicity 2)
In 0.5000 0.5000 0.2426 (multiplicity 2)
In 0.5000 0.5000 0.5000 (multiplicity 1)
Ga 0.5000 0.5000 0.0000 (multiplicity 1)

Results
- energy relative to the elements (eV/atom) = -0.493
- distance to the lowest polymorph of the same formula (meV per atom) = 0
- Fermi-level density of states (states/eV per cell) = 3.8

***

No. 2
Here is an optimized crystal structure of La2IrAu from Alexandria. Energies are from PBE.

abc: 7.0808 7.0808 7.0808
angles: 90.00 90.00 90.00
Space group F-43m (No. 216)
Symmetry-distinct sites (fractional):
La 0.0000 0.0000 0.0000 (multiplicity 4)
La 0.2500 0.2500 0.2500 (multiplicity 4)
Ir 0.2500 0.2500 0.7500 (multiplicity 4)
Au 0.0000 0.0000 0.5000 (multiplicity 4)

Results
- energy relative to the elements (eV/atom) = -0.461
- Fermi-level density of states (states/eV per cell) = 21.7

***

No. 3
Here is an optimized crystal structure of Ba2CrAg2 from Alexandria. Energies are from PBE.

abc: 7.5937 7.5937 5.1835
angles: 90.00 90.00 90.00
Space group P4/mbm (No. 127)
Symmetry-distinct sites (fractional):
Ba 0.1768 0.3232 0.0000 (multiplicity 4)
Cr 0.0000 0.0000 0.5000 (multiplicity 2)
Ag 0.1383 0.6383 0.5000 (multiplicity 4)

Results
- energy relative to the elements (eV/atom) = 0.622
- distance to the lowest polymorph of the same formula (meV per atom) = 365
- Fermi-level density of states (states/eV per cell) = 19.8

***

No. 4
Here is an optimized crystal structure of Pm8Y2Ho from Alexandria. Energies are from PBE.

abc: 19.2723 7.0560 5.7112
angles: 90.00 93.61 90.00
Space group C2/m (No. 12)
Symmetry-distinct sites (fractional):
Pm 0.0446 0.0000 0.2348 (multiplicity 4)
Pm 0.1303 0.2345 0.7307 (multiplicity 8)
Pm 0.1861 0.5000 0.2284 (multiplicity 4)
Y 0.2159 0.0000 0.2563 (multiplicity 4)
Ho 0.0000 0.5000 0.0000 (multiplicity 2)

Results
- energy relative to the elements (eV/atom) = 0.162
- Fermi-level density of states (states/eV per cell) = 34.2

***

Q: Which of these has the lowest Fermi-level density of states?
A: Dy4In3Ga